No. 1
DFT (GGA-PBE) results for a relaxed BaZr2VPd crystal.

Computed properties:
As for the crystal system: tetragonal. The value obtained for the total magnetization is 0.53 μB/cell. As for the volume: 155 Å³/cell. For the electronic total energy, the calculation gives -5.556 eV/atom. The energy relative to the elements is 1110 meV per atom.

Lattice parameters (Å, degrees): 5.1270 5.9130 5.1270 90.00 90.00 90.00
Sites, in units of the cell vectors:
1 Zr 0.0000 0.0000 0.5000
2 Pd 0.0000 0.0000 0.0000
3 Zr 0.5000 0.0000 0.0000
4 V 0.5000 0.5000 0.5000
5 Ba 0.0000 0.5000 0.0000


No. 2
DFT (GGA-PBE) results for a relaxed BaPdW crystal.

Computed properties:
As for the crystal system: cubic. The calculation puts the relative energy among the computed polymorphs at 1051.2 meV per atom. The value obtained for the total magnetization is 3.90 μB/cell. As for the volume: 87 Å³/cell. For the electronic total energy, the calculation gives -5.383 eV/atom. The energy relative to the elements is 1307 meV per atom.

Lattice parameters (Å, degrees): 4.9794 4.9794 4.9794 60.00 60.00 60.00
Sites, in units of the cell vectors:
1 Ba 0.7500 0.7500 0.7500
2 Pd 0.5000 0.5000 0.5000
3 W 0.2500 0.2500 0.2500


No. 3
DFT (GGA-PBE) results for a relaxed BaPdW crystal.

Computed properties:
As for the crystal system: orthorhombic. The calculation puts the relative energy among the computed polymorphs at 456.5 meV per atom. The value obtained for the total magnetization is 0.00 μB/cell. As for the volume: 293 Å³/cell. For the electronic total energy, the calculation gives -5.978 eV/atom. The energy relative to the elements is 712 meV per atom.

Lattice parameters (Å, degrees): 5.4643 4.7562 11.2834 90.00 90.00 90.00
Sites, in units of the cell vectors:
1 W 0.5348 0.2500 0.6845
2 Pd 0.9624 0.2500 0.0553
3 Pd 0.0376 0.7500 0.9447
4 Ba 0.0389 0.7500 0.6275
5 W 0.9652 0.7500 0.1845
6 W 0.0348 0.2500 0.8155
7 W 0.4652 0.7500 0.3155
8 Pd 0.4624 0.2500 0.4447
9 Ba 0.5389 0.7500 0.8725
10 Pd 0.5376 0.7500 0.5553
11 Ba 0.4611 0.2500 0.1275
12 Ba 0.9611 0.2500 0.3725